Entry from Alexandria via LeMat-Bulk: an optimized crystal structure of CsScPd2Pb (PBE).

a = 5.3850 Å, b = 5.4605 Å, c = 5.3850 Å
α = 90.00°, β = 90.00°, γ = 90.00°
Last column: nearest neighbours and their distance in Å.
Fractional coordinates of all 5 atoms:
Pb: 0.0000 0.0000 0.0000  4 Pd 2.69, 2 Sc 2.73
Cs: 0.5000 0.5000 0.5000  4 Sc 3.81, 8 Pd 3.83
Sc: 0.0000 0.5000 0.0000  2 Pb 2.73
Pd: 0.0000 0.0000 0.5000  2 Pb 2.69
Pd: 0.5000 0.0000 0.0000  2 Pb 2.69

Results
**ΔH_f (0 K)**: 397 meV/atom
**Final energy**: -19.3 eV per cell
**N(E_F)**: 4.52 states/eV/f.u.
**Total magnetic moment**: 0.5 Bohr magnetons per cell

---

Entry from Alexandria via LeMat-Bulk: an optimized crystal structure of CsPdPb2Se (PBE).

a = 5.7293 Å, b = 6.5809 Å, c = 5.7293 Å
α = 90.00°, β = 90.00°, γ = 90.00°
Last column: nearest neighbours and their distance in Å.
Fractional coordinates of all 5 atoms:
Pb: 0.0000 0.0000 0.5000  2 Se 2.86
Pb: 0.5000 0.0000 0.0000  2 Se 2.86
Cs: 0.0000 0.5000 0.0000  2 Se 3.29
Se: 0.0000 0.0000 0.0000  4 Pb 2.86
Pd: 0.5000 0.5000 0.5000  4 Cs 4.05, 8 Pb 4.36

Results
**Uncorrected formation energy**: 0.36 eV per atom
**Final energy**: -15.1 eV per cell
**N(E_F)**: 3.07 states/eV/f.u.
**Total magnetic moment**: 0.0 Bohr magnetons per cell

---

Entry from Alexandria via LeMat-Bulk: an optimized crystal structure of CsSn2PdPb (PBE).

a = 5.3736 Å, b = 5.7538 Å, c = 5.3736 Å
α = 90.00°, β = 90.00°, γ = 90.00°
Last column: nearest neighbours and their distance in Å.
Fractional coordinates of all 5 atoms:
Pb: 0.0000 0.5000 0.0000  2 Pd 2.88
Cs: 0.5000 0.5000 0.5000  4 Pb 3.80, 8 Sn 3.94
Sn: 0.0000 0.0000 0.5000  2 Pd 2.69
Sn: 0.5000 0.0000 0.0000  2 Pd 2.69
Pd: 0.0000 0.0000 0.0000  4 Sn 2.69, 2 Pb 2.88

Results
**ΔH_f (0 K)**: 20 meV/atom
**Final energy**: -17.7 eV per cell
**N(E_F)**: 4.69 states/eV/f.u.
**Total magnetic moment**: 0.0 Bohr magnetons per cell

---

Entry from Alexandria via LeMat-Bulk: an optimized crystal structure of CsSrPdPb2 (PBE).

a = 6.4283 Å, b = 5.4287 Å, c = 6.4283 Å
α = 90.00°, β = 90.00°, γ = 90.00°
Last column: nearest neighbours and their distance in Å.
Fractional coordinates of all 5 atoms:
Pb: 0.0000 0.0000 0.5000  2 Sr 3.21
Pb: 0.5000 0.0000 0.0000  2 Sr 3.21
Cs: 0.5000 0.5000 0.5000  8 Pb 4.21, 4 Pd 4.55
Pd: 0.0000 0.5000 0.0000  2 Sr 2.71
Sr: 0.0000 0.0000 0.0000  2 Pd 2.71

Results
**ΔH_f (0 K)**: 386 meV/atom
**Final energy**: -13.2 eV per cell
**N(E_F)**: 4.21 states/eV/f.u.
**Total magnetic moment**: 0.0 Bohr magnetons per cell

---

Entry from Alexandria via LeMat-Bulk: an optimized crystal structure of CsPmPb2 (PBE).

a = 4.2686 Å, b = 4.2686 Å, c = 8.5911 Å
α = 90.00°, β = 90.00°, γ = 90.00°
Last column: nearest neighbours and their distance in Å.
Fractional coordinates of all 4 atoms:
Pb: 0.0000 0.0000 0.8209  1 Pb 3.08, 4 Pm 3.39
Pb: 0.0000 0.0000 0.1791  1 Pb 3.08, 4 Pm 3.39
Cs: 0.5000 0.5000 0.5000  8 Pb 4.09, 4 Cs 4.27, 2 Pm 4.30
Pm: 0.5000 0.5000 0.0000  8 Pb 3.39

Results
**ΔH_f (0 K)**: -334 meV/atom
**Final energy**: -14.4 eV per cell
**N(E_F)**: 2.55 states/eV/f.u.
**Total magnetic moment**: 0.0 Bohr magnetons per cell
**Polymorph energy (0 for the lowest one)**: 0 meV per atom

---

Entry from Alexandria via LeMat-Bulk: an optimized crystal structure of CsPmPb4 (PBE).

a = 6.6633 Å, b = 6.6633 Å, c = 6.6633 Å
α = 60.00°, β = 60.00°, γ = 60.00°
Last column: nearest neighbours and their distance in Å.
Fractional coordinates of all 6 atoms:
Pb: 0.6267 0.6267 0.1198  6 Pb 3.29-3.38
Pb: 0.6267 0.1198 0.6267  6 Pb 3.29-3.38
Pb: 0.6267 0.6267 0.6267  6 Pb 3.29-3.38
Pb: 0.1198 0.6267 0.6267  6 Pb 3.29-3.38
Cs: 0.2500 0.2500 0.2500  12 Pb 3.91, 4 Pm 4.08
Pm: 0.0000 0.0000 0.0000  12 Pb 3.90, 4 Cs 4.08

Results
**ΔH_f (0 K)**: -105 meV/atom
**Final energy**: -21.1 eV per cell
**N(E_F)**: 1.17 states/eV/f.u.
**Total magnetic moment**: 0.0 Bohr magnetons per cell